Record 1
# BeP2Pt PBEsol optimized geometry
data_BeP2Pt
_symmetry_space_group_name_H-M 'P m m m'
_symmetry_Int_Tables_number 47
_cell_length_a 3.1642
_cell_length_b 3.6311
_cell_length_c 4.6147
_cell_angle_alpha 90.00
_cell_angle_beta 90.00
_cell_angle_gamma 90.00
loop_
_symmetry_equiv_pos_as_xyz
'x,y,z'
'-x,-y,-z'
'-x,-y,z'
'x,y,-z'
'x,-y,-z'
'-x,y,z'
'-x,y,-z'
'x,-y,z'
loop_
_atom_site_label
_atom_site_fract_x
_atom_site_fract_y
_atom_site_fract_z
Be1 0.0000 0.0000 0.0000
P1 0.0000 0.5000 0.5000
P2 0.5000 0.0000 0.5000
Pt1 0.5000 0.5000 0.0000
# DFT total energy   -21.6 eV/cell
# Size of the total moment   0.000 μB/f.u.
# Formation energy   0.2242 eV/atom

---

Record 2
# AlTcNF2 PBEsol optimized geometry
data_AlTcNF2
_symmetry_space_group_name_H-M 'P 4/m m m'
_symmetry_Int_Tables_number 123
_symmetry_space_group_name_Hall '-P 4 2'
_cell_length_a 4.1636
_cell_length_b 4.1636
_cell_length_c 3.7662
_cell_angle_alpha 90.00
_cell_angle_beta 90.00
_cell_angle_gamma 90.00
loop_
_atom_site_label
_atom_site_fract_x
_atom_site_fract_y
_atom_site_fract_z
Al1 0.0000 0.0000 0.0000
Tc1 0.5000 0.5000 0.5000
N1 0.5000 0.5000 0.0000
F1 0.0000 0.5000 0.5000
# DFT total energy   -31.0 eV/cell
# Energy relative to the elements, uncorrected   -15.04 kcal/mol of atoms
# Size of the total moment   0.000 μB/f.u.

---

Record 3
# YTeMoN2 PBEsol optimized geometry
data_YTeMoN2
_symmetry_space_group_name_H-M 'P 4/m m m'
_symmetry_Int_Tables_number 123
_symmetry_space_group_name_Hall '-P 4 2'
_cell_length_a 4.0352
_cell_length_b 4.0352
_cell_length_c 5.3446
_cell_angle_alpha 90.00
_cell_angle_beta 90.00
_cell_angle_gamma 90.00
loop_
_atom_site_label
_atom_site_fract_x
_atom_site_fract_y
_atom_site_fract_z
Y1 0.0000 0.0000 0.0000
Te1 0.5000 0.5000 0.0000
Mo1 0.5000 0.5000 0.5000
N1 0.0000 0.5000 0.5000
# DFT total energy   -39.9 eV/cell
# Energy relative to the elements, uncorrected   -3.15 kcal/mol of atoms
# Size of the total moment   0.000 μB/f.u.

---

Record 4
# BaLaRe2 PBEsol optimized geometry
data_BaLaRe2
_symmetry_space_group_name_H-M 'F m -3 m'
_symmetry_Int_Tables_number 225
_symmetry_space_group_name_Hall '-F 4 2 3'
_cell_length_a 7.2018
_cell_length_b 7.2018
_cell_length_c 7.2018
_cell_angle_alpha 90.00
_cell_angle_beta 90.00
_cell_angle_gamma 90.00
loop_
_atom_site_label
_atom_site_fract_x
_atom_site_fract_y
_atom_site_fract_z
Ba1 0.0000 0.0000 0.0000
La1 0.0000 0.0000 0.5000
Re1 0.2500 0.2500 0.2500
# DFT total energy   -112.9 eV/cell
# Size of the total moment   2.584 μB/f.u.
# Formation energy   1.4859 eV/atom
# Excess energy over the best structure of this formula in the dataset   0.917 eV per atom

---

Record 5
# Te3CCl PBEsol optimized geometry
data_Te3CCl
_symmetry_space_group_name_H-M 'P m -3 m'
_symmetry_Int_Tables_number 221
_symmetry_space_group_name_Hall '-P 4 2 3'
_cell_length_a 4.7872
_cell_length_b 4.7872
_cell_length_c 4.7872
_cell_angle_alpha 90.00
_cell_angle_beta 90.00
_cell_angle_gamma 90.00
loop_
_atom_site_label
_atom_site_fract_x
_atom_site_fract_y
_atom_site_fract_z
Te1 0.0000 0.0000 0.5000
C1 0.0000 0.0000 0.0000
Cl1 0.5000 0.5000 0.5000
# DFT total energy   -17.8 eV/cell
# Energy relative to the elements, uncorrected   20.41 kcal/mol of atoms
# Size of the total moment   0.000 μB/f.u.

---

Record 6
# Rb2ZrMo3O12 PBEsol optimized geometry
data_Rb2ZrMo3O12
_symmetry_space_group_name_H-M 'C 1 2/c 1'
_symmetry_Int_Tables_number 15
_cell_length_a 18.5734
_cell_length_b 6.7671
_cell_length_c 10.7309
_cell_angle_alpha 90.00
_cell_angle_beta 105.78
_cell_angle_gamma 90.00
loop_
_symmetry_equiv_pos_as_xyz
'x,y,z'
'-x,-y,-z'
'-x,y,-z+1/2'
'x,-y,z+1/2'
'x+1/2,y+1/2,z'
'-x+1/2,-y+1/2,-z'
'-x+1/2,y+1/2,-z+1/2'
'x+1/2,-y+1/2,z+1/2'
loop_
_atom_site_label
_atom_site_fract_x
_atom_site_fract_y
_atom_site_fract_z
Rb1 0.1669 0.0494 0.0577
Zr1 0.0000 0.5000 0.0000
Mo1 0.0000 0.1049 0.7500
Mo2 0.1366 0.3926 0.3266
O1 0.0191 0.2537 0.8952
O2 0.0766 0.0419 0.2566
O3 0.0783 0.3400 0.4351
O4 0.0864 0.4150 0.1559
O5 0.1748 0.3781 0.8730
O6 0.2126 0.2374 0.3494
# DFT total energy   -602.8 eV/cell
# Energy relative to the elements, uncorrected   -52.86 kcal/mol of atoms
# Size of the total moment   0.003 μB/f.u.

---

Record 7
# SiSbCl PBEsol optimized geometry
data_SiSbCl
_symmetry_space_group_name_H-M 'I 4 m m'
_symmetry_Int_Tables_number 107
_symmetry_space_group_name_Hall 'I 4 -2'
_cell_length_a 3.5591
_cell_length_b 3.5591
_cell_length_c 13.8544
_cell_angle_alpha 90.00
_cell_angle_beta 90.00
_cell_angle_gamma 90.00
loop_
_atom_site_label
_atom_site_fract_x
_atom_site_fract_y
_atom_site_fract_z
Si1 0.0000 0.0000 0.0000
Sb1 0.0000 0.0000 0.5783
Cl1 0.0000 0.0000 0.8510
# DFT total energy   -25.6 eV/cell
# Energy relative to the elements, uncorrected   -3.73 kcal/mol of atoms
# Size of the total moment   0.000 μB/f.u.

---

Record 8
# NiHgSe2 PBEsol optimized geometry
data_NiHgSe2
_symmetry_space_group_name_H-M 'P 4/m m m'
_symmetry_Int_Tables_number 123
_symmetry_space_group_name_Hall '-P 4 2'
_cell_length_a 3.8649
_cell_length_b 3.8649
_cell_length_c 4.8636
_cell_angle_alpha 90.00
_cell_angle_beta 90.00
_cell_angle_gamma 90.00
loop_
_atom_site_label
_atom_site_fract_x
_atom_site_fract_y
_atom_site_fract_z
Ni1 0.0000 0.0000 0.0000
Hg1 0.5000 0.5000 0.0000
Se1 0.0000 0.5000 0.5000
# DFT total energy   -12.7 eV/cell
# Energy relative to the elements, uncorrected   10.18 kcal/mol of atoms
# Size of the total moment   0.001 μB/f.u.

---

Record 9
# TaSi2Se PBEsol optimized geometry
data_TaSi2Se
_symmetry_space_group_name_H-M 'C 1 2/m 1'
_symmetry_Int_Tables_number 12
_cell_length_a 5.2997
_cell_length_b 9.0284
_cell_length_c 3.2147
_cell_angle_alpha 90.00
_cell_angle_beta 122.41
_cell_angle_gamma 90.00
loop_
_symmetry_equiv_pos_as_xyz
'x,y,z'
'-x,-y,-z'
'-x,y,-z'
'x,-y,z'
'x+1/2,y+1/2,z'
'-x+1/2,-y+1/2,-z'
'-x+1/2,y+1/2,-z'
'x+1/2,-y+1/2,z'
loop_
_atom_site_label
_atom_site_fract_x
_atom_site_fract_y
_atom_site_fract_z
Ta1 0.0000 0.0000 0.0000
Si1 0.2500 0.2500 0.5000
Se1 0.0000 0.5000 0.0000
# DFT total energy   -54.4 eV/cell
# Energy relative to the elements, uncorrected   4.02 kcal/mol of atoms
# Size of the total moment   0.000 μB/f.u.

---

Record 10
# Zr3HW PBEsol optimized geometry
data_Zr3HW
_symmetry_space_group_name_H-M 'P m -3 m'
_symmetry_Int_Tables_number 221
_symmetry_space_group_name_Hall '-P 4 2 3'
_cell_length_a 4.3490
_cell_length_b 4.3490
_cell_length_c 4.3490
_cell_angle_alpha 90.00
_cell_angle_beta 90.00
_cell_angle_gamma 90.00
loop_
_atom_site_label
_atom_site_fract_x
_atom_site_fract_y
_atom_site_fract_z
Zr1 0.0000 0.0000 0.5000
H1 0.0000 0.0000 0.0000
W1 0.5000 0.5000 0.5000
# DFT total energy   -43.9 eV/cell
# Size of the total moment   0.000 μB/f.u.

---

Record 11
# ScCd3Au PBEsol optimized geometry
data_ScCd3Au
_symmetry_space_group_name_H-M 'P m -3 m'
_symmetry_Int_Tables_number 221
_symmetry_space_group_name_Hall '-P 4 2 3'
_cell_length_a 5.3896
_cell_length_b 5.3896
_cell_length_c 5.3896
_cell_angle_alpha 90.00
_cell_angle_beta 90.00
_cell_angle_gamma 90.00
loop_
_atom_site_label
_atom_site_fract_x
_atom_site_fract_y
_atom_site_fract_z
Sc1 0.0000 0.0000 0.0000
Cd1 0.0000 0.0000 0.5000
Au1 0.5000 0.5000 0.5000
# DFT total energy   -9.1 eV/cell
# Size of the total moment   0.003 μB/f.u.
# Formation energy   0.9983 eV/atom
# Excess energy over the best structure of this formula in the dataset   0.709 eV per atom

---

Record 12
# CoRe2Rh PBEsol optimized geometry
data_CoRe2Rh
_symmetry_space_group_name_H-M 'P m m 2'
_symmetry_Int_Tables_number 25
_cell_length_a 2.6467
_cell_length_b 4.2394
_cell_length_c 4.6686
_cell_angle_alpha 90.00
_cell_angle_beta 90.00
_cell_angle_gamma 90.00
loop_
_symmetry_equiv_pos_as_xyz
'x,y,z'
'-x,-y,z'
'-x,y,z'
'x,-y,z'
loop_
_atom_site_label
_atom_site_fract_x
_atom_site_fract_y
_atom_site_fract_z
Co1 0.0000 0.0000 0.0000
Re1 0.5000 0.0000 0.5077
Re2 0.5000 0.5000 0.8394
Rh1 0.0000 0.5000 0.3227
# DFT total energy   -43.0 eV/cell
# Size of the total moment   0.001 μB/f.u.
# Formation energy   -0.1165 eV/atom
# Excess energy over the best structure of this formula in the dataset   0.000 eV per atom